# 1
First-principles (PBE) data for crystalline Hf2FeMo at its relaxed geometry, as listed in OQMD via LeMat-Bulk.

Structure (POSCAR):
```
Hf2FeMo
1.0
-0.943 -4.027 1.895
-1.647 -0.191 4.236
-4.324 -1.224 0.706
Mo Hf Fe
1 2 1
direct
0.500 0.500 0.500
0.000 0.000 0.000
0.750 0.750 0.750
0.250 0.250 0.250
```

V ... 67 Å³/cell
Mass density ... 12.69 g cm⁻³
Formation energy from the elements ... 0.19 eV per atom
M_tot ... 1.3 μB/cell

# 2
First-principles (PBE) data for crystalline HfFe2Mo at its relaxed geometry, as listed in OQMD via LeMat-Bulk.

Structure (POSCAR):
```
HfFe2Mo
1.0
0.000 3.061 3.061
3.061 0.000 3.061
3.061 3.061 0.000
Hf Fe Mo
1 2 1
direct
0.500 0.500 0.500
0.750 0.750 0.750
0.000 0.000 0.000
0.250 0.250 0.250
```

V ... 57 Å³/cell
Mass density ... 11.17 g cm⁻³
Formation energy from the elements ... 0.10 eV per atom
M_tot ... 2.3 μB/cell

# 3
First-principles (PBE) data for crystalline HfFeMo2 at its relaxed geometry, as listed in OQMD via LeMat-Bulk.

Structure (POSCAR):
```
HfFeMo2
1.0
-3.706 -1.998 1.417
-1.372 0.575 4.186
-3.641 2.405 0.834
Mo Fe Hf
2 1 1
direct
0.250 0.250 0.250
0.000 0.000 0.000
0.750 0.750 0.750
0.500 0.500 0.500
```

V ... 62 Å³/cell
Mass density ... 11.42 g cm⁻³
Formation energy from the elements ... -0.02 eV per atom
M_tot ... 0.1 μB/cell

# 4
First-principles (PBE) data for crystalline Hf2Fe3Mo4N3 at its relaxed geometry, as listed in OQMD via LeMat-Bulk.

Structure (POSCAR):
```
Hf2Fe3Mo4N3
1.0
-3.599 2.230 -3.032
-4.803 -2.002 -0.194
-0.806 7.607 11.002
N Mo Hf Fe
6 8 4 6
direct
0.794 0.353 0.000
0.206 0.647 0.000
0.000 0.500 0.500
0.500 0.000 0.000
0.647 0.206 0.500
0.353 0.794 0.500
0.817 0.957 0.913
0.183 0.043 0.087
0.302 0.126 0.413
0.698 0.874 0.587
0.126 0.302 0.913
0.957 0.817 0.413
0.043 0.183 0.587
0.874 0.698 0.087
0.539 0.375 0.119
0.461 0.625 0.881
0.375 0.539 0.619
0.625 0.461 0.381
0.914 0.584 0.750
0.086 0.416 0.250
0.083 0.917 0.250
0.416 0.086 0.750
0.584 0.914 0.250
0.917 0.083 0.750
```

V ... 308 Å³/cell
Mass density ... 10.25 g cm⁻³
M_tot ... 10.4 μB/cell
Final energy ... -9.838 eV/atom

# 5
First-principles (PBE) data for crystalline HfFeMoPb at its relaxed geometry, as listed in OQMD via LeMat-Bulk.

Structure (POSCAR):
```
HfFeMoPb
1.0
-2.541 0.618 3.811
-1.274 4.260 1.263
-4.424 1.290 -0.356
Fe Mo Pb Hf
1 1 1 1
direct
0.750 0.750 0.750
0.250 0.250 0.250
0.000 0.000 0.000
0.500 0.500 0.500
```

V ... 70 Å³/cell
Mass density ... 12.78 g cm⁻³
M_tot ... 1.9 μB/cell
Final energy ... -7.842 eV/atom

# 6
First-principles (PBE) data for crystalline HfFeSiMo at its relaxed geometry, as listed in OQMD via LeMat-Bulk.

Structure (POSCAR):
```
HfFeSiMo
1.0
0.000 3.080 3.080
3.080 0.000 3.080
3.080 3.080 0.000
Hf Si Mo Fe
1 1 1 1
direct
0.500 0.500 0.500
0.000 0.000 0.000
0.250 0.250 0.250
0.750 0.750 0.750
```

V ... 58 Å³/cell
Mass density ... 10.19 g cm⁻³
M_tot ... 1.9 μB/cell
Final energy ... -8.778 eV/atom